Material: MoCl2F
Method: DFT, PBE with a Hubbard U
State: relaxed

The space group is Fm-3m (No. 225) and the conventional cell measures 6.326, 6.326 and 6.326 Å, with angles of 90.00, 90.00 and 90.00 degrees. The distinct sites, in fractional coordinates, are Mo at (0.000, 0.000, 0.000), Cl at (0.250, 0.250, 0.250) and F at (0.000, 0.000, 0.500).

The polymorph energy (0 for the lowest one) comes out at 827.2 meV/atom. For the spin magnetization, the calculation gives 12.000 μB/cell. The calculation puts the electronic total energy at -59.635 eV per cell. For the volume, the calculation gives 15.8 A^3/atom.